# 1
The following is a PBE-GGA calculation of crystalline SmDy2Mg9 at its relaxed geometry, from Alexandria via LeMat-Bulk.

Geometry as POSCAR:
```
SmDy2Mg9
1.0
6.044 0.000 0.000
3.022 5.234 0.000
3.022 1.745 9.743
Mg Dy Sm
9 2 1
Direct
0.079 0.587 0.747
0.921 0.413 0.253
0.413 0.413 0.253
0.666 0.666 0.002
0.413 0.921 0.253
0.587 0.587 0.747
0.500 0.500 0.500
0.587 0.079 0.747
0.334 0.334 0.998
0.143 0.143 0.570
0.857 0.857 0.430
0.000 0.000 0.000
```

Output
M_tot, μB/f.u.: 0.0
Density of states at the Fermi level, states/eV/f.u.: 11.43
E_form, meV per atom: -44

***

# 2
The following is a PBE-GGA calculation of crystalline HfB2H6 at its relaxed geometry, from Alexandria via LeMat-Bulk.

Geometry as POSCAR:
```
HfB2H6
1.0
-4.237 -1.154 0.544
-1.598 -0.696 4.067
-2.864 2.869 1.772
H B Hf
6 2 1
Direct
0.304 0.304 0.696
0.696 0.304 0.696
0.304 0.696 0.304
0.304 0.696 0.696
0.696 0.304 0.304
0.696 0.696 0.304
0.750 0.750 0.750
0.250 0.250 0.250
0.000 0.000 0.000
```

Output
M_tot, μB/f.u.: 0.0
Density of states at the Fermi level, states/eV/f.u.: 3.12
Final energy, eV/cell: -33.02

***

Question: Look up the density of states at the Fermi level of the first one.
Answer: 11.43 states/eV/f.u.